(1)
VASP calculation (PBE) on a relaxed Tb3Pm4Th crystal.

Unit cell a=3.4762 b=6.8655 c=11.9198 alpha=106.56 beta=98.38 gamma=90.00
Atoms (fractional coordinates):
Pm 0.2582 0.7627 0.5164
Th 0.5000 0.0000 0.0000
Pm 0.7418 0.2373 0.4836
Tb 0.8776 0.1163 0.7551
Pm 0.8780 0.6386 0.7560
Pm 0.1220 0.3614 0.2440
Tb 0.1224 0.8837 0.2449
Tb 0.0000 0.5000 0.0000

## Properties
SG: C2/m, No. 12

(2)
VASP calculation (PBE) on a relaxed Tb12PmTh2 crystal.

Unit cell a=6.6172 b=6.6172 c=25.2341 alpha=96.44 beta=83.56 gamma=64.83
Atoms (fractional coordinates):
Tb 0.8961 0.6039 0.1367
Tb 0.4887 0.4872 0.3303
Tb 0.0113 0.0128 0.6697
Th 0.5563 0.9437 0.2702
Tb 0.4436 0.5565 0.0738
Th 0.4631 0.0369 0.7308
Tb 0.0564 0.9435 0.9262
Tb 0.5953 0.3997 0.2019
Pm 0.5000 0.0000 0.0001
Tb 0.6039 0.8961 0.8633
Pm 0.0000 0.5000 0.9999
Tb 0.8092 0.6908 0.5894
Tb 0.1003 0.9047 0.2019
Tb 0.9047 0.1003 0.7981
Tb 0.8454 0.1746 0.5549
Tb 0.3462 0.1538 0.5651
Tb 0.6546 0.3254 0.4451
Tb 0.9435 0.0564 0.0738
Tb 0.1538 0.3462 0.4349
Tb 0.4872 0.4887 0.6697
Th 0.0369 0.4631 0.2692
Tb 0.3254 0.6546 0.5549
Tb 0.5565 0.4436 0.9262
Tb 0.1746 0.8454 0.4451
Tb 0.0128 0.0113 0.3303
Tb 0.3997 0.5953 0.7981
Tb 0.1026 0.3974 0.8635
Tb 0.3974 0.1026 0.1365
Th 0.9437 0.5563 0.7298
Tb 0.6908 0.8092 0.4106

## Properties
SG: C2/m, No. 12

(3)
VASP calculation (PBE) on a relaxed Tb4Pm5Th crystal.

Unit cell a=3.5817 b=11.0670 c=14.1510 alpha=140.87 beta=97.38 gamma=89.99
Atoms (fractional coordinates):
Pm 0.8283 0.6051 0.6587
Tb 0.0256 0.2999 0.0508
Pm 0.1717 0.3949 0.3413
Pm 0.5000 0.5000 0.0000
Tb 0.3493 0.9489 0.7026
Tb 0.6507 0.0511 0.2974
Th 0.5000 0.0000 0.0000
Pm 0.1759 0.7941 0.3493
Tb 0.9744 0.7001 0.9492
Pm 0.8241 0.2059 0.6507

## Properties
SG: P-1, No. 2

(4)
VASP calculation (PBE) on a relaxed TbPm4Th3 crystal.

Unit cell a=5.0866 b=10.2756 c=10.1903 alpha=90.00 beta=90.00 gamma=90.00
Atoms (fractional coordinates):
Pm 0.0644 0.8639 0.0000
Th 0.5644 0.3807 0.2522
Pm 0.5644 0.1293 0.0000
Th 0.5644 0.6203 0.0000
Pm 0.0644 0.1324 0.7489
Th 0.0644 0.6193 0.7522
Th 0.0644 0.3797 0.5000
Pm 0.5644 0.8676 0.7511
Pm 0.5644 0.1361 0.5000
Pm 0.0644 0.8707 0.5000
Th 0.5644 0.3807 0.7478
Pm 0.0644 0.1324 0.2511
Tb 0.0644 0.3811 0.0000
Tb 0.5644 0.6189 0.5000
Pm 0.5644 0.8676 0.2489
Th 0.0644 0.6193 0.2478

## Properties
SG: Pmmn, No. 59

(5)
VASP calculation (PBE) on a relaxed Tb4Pm6Th crystal.

Unit cell a=5.8864 b=5.6679 c=25.8459 alpha=90.00 beta=90.00 gamma=121.28
Atoms (fractional coordinates):
Pm 0.8864 0.7729 0.8182
Pm 0.2064 0.4128 0.8988
Pm 0.7936 0.5872 0.1012
Pm 0.1136 0.2271 0.1818
Tb 0.4469 0.8938 0.1231
Pm 0.5000 0.0000 0.0000
Tb 0.5531 0.1062 0.6231
Pm 0.2064 0.4128 0.6012
Pm 0.1136 0.2271 0.3182
Th 0.2182 0.4365 0.7500
Tb 0.8517 0.7035 0.9575
Tb 0.1483 0.2965 0.0425
Pm 0.7936 0.5872 0.3988
Pm 0.5591 0.1182 0.7500
Pm 0.8864 0.7729 0.6818
Tb 0.8517 0.7035 0.5425
Tb 0.5531 0.1062 0.8769
Tb 0.4469 0.8938 0.3769
Pm 0.5000 0.0000 0.5000
Th 0.7818 0.5635 0.2500
Tb 0.1483 0.2965 0.4575
Pm 0.4409 0.8818 0.2500

## Properties
SG: Cmcm, No. 63

(6)
VASP calculation (PBE) on a relaxed Tb3PmTh crystal.

Unit cell a=6.2802 b=5.7775 c=9.6114 alpha=90.00 beta=70.97 gamma=90.00
Atoms (fractional coordinates):
Tb 0.7375 0.7500 0.6960
Th 0.6503 0.2500 0.5008
Tb 0.2625 0.2500 0.3040
Tb 0.9349 0.7500 0.3064
Pm 0.8657 0.2500 0.1046
Th 0.3497 0.7500 0.4992
Pm 0.1343 0.7500 0.8954
Tb 0.0651 0.2500 0.6936
Tb 0.4714 0.2500 0.8971
Tb 0.5286 0.7500 0.1029

## Properties
SG: P2_1/m, No. 11

(7)
VASP calculation (PBE) on a relaxed Tb3PmTh4 crystal.

Unit cell a=3.4521 b=9.3978 c=9.7153 alpha=118.77 beta=100.23 gamma=90.00
Atoms (fractional coordinates):
Tb 0.0000 0.5000 0.0000
Th 0.6495 0.8403 0.2990
Pm 0.5000 0.0000 0.0000
Th 0.3505 0.1597 0.7010
Th 0.3483 0.5386 0.6966
Tb 0.8166 0.8176 0.6333
Th 0.6517 0.4614 0.3034
Tb 0.1834 0.1824 0.3667

## Properties
SG: C2/m, No. 12

(8)
VASP calculation (PBE) on a relaxed Tb6PmTh2 crystal.

Unit cell a=3.4939 b=12.0219 c=12.0219 alpha=47.95 beta=54.50 gamma=54.50
Atoms (fractional coordinates):
Tb 0.5000 0.3355 0.6645
Tb 0.5000 0.6645 0.3355
Tb 0.8289 0.3351 0.0001
Tb 0.1711 0.6649 0.9999
Th 0.3333 0.6667 0.6667
Tb 0.8289 0.0001 0.3351
Pm 0.0000 0.0000 0.0000
Th 0.6667 0.3333 0.3333
Tb 0.1711 0.9999 0.6649

## Properties
SG: Cmmm, No. 65

| no. | mass density (Mg/m³) | uncorrected energy (eV per atom) | energy of formation (meV/atom) |
| --- | --- | --- | --- |
| 1 | 7.941 | -4.8719 | 167.2 |
| 2 | 8.545 | -4.8930 | 117.2 |
| 3 | 7.630 | -4.8075 | 161.9 |
| 4 | 8.948 | -5.7003 | 36.2 |
| 5 | 7.831 | -4.8072 | 142.3 |
| 6 | 8.601 | -5.1675 | 44.8 |
| 7 | 9.513 | -5.7222 | 317.9 |
| 8 | 8.964 | -5.2082 | 55.3 |